Density functional theory data (PBE) for an optimized crystal structure of Na3CeCl6.

Cell lengths 7.094, 7.370, 12.562 Å; angles 90.00, 123.04, 90.00 degrees
Fractional positions:
Na  0.000  0.000  0.000
Na  0.000  0.500  0.500
Na  0.211  0.063  0.725
Na  0.211  0.437  0.225
Na  0.789  0.563  0.775
Na  0.789  0.937  0.275
Ce  0.500  0.000  0.500
Ce  0.500  0.500  0.000
Cl  0.117  0.179  0.444
Cl  0.117  0.321  0.944
Cl  0.231  0.692  0.407
Cl  0.231  0.808  0.907
Cl  0.402  0.085  0.259
Cl  0.402  0.415  0.759
Cl  0.598  0.585  0.241
Cl  0.598  0.915  0.741
Cl  0.769  0.192  0.093
Cl  0.769  0.308  0.593
Cl  0.883  0.679  0.056
Cl  0.883  0.821  0.556

The formation energy without anion corrections is -1.95 eV/atom. The value obtained for the density of states at the Fermi level is 8.26 states/eV/f.u.